(1)
CsSi: optimized geometry, PBE.

Values from the calculation:
**Formation energy without anion corrections**: 43 meV/atom
**Total energy**: -3.0956 eV/atom

abc: 10.418 10.418 10.418
angles: 90.00 90.00 90.00
Space group I-43m (No. 217)
Unique sites:
Cs1 0.210 0.210 0.790 (multiplicity 8)
Si1 0.083 0.083 0.083 (multiplicity 8)

***

(2)
CsSi2: optimized geometry, PBE.

Values from the calculation:
**Formation energy without anion corrections**: 337 meV/atom
**Total energy**: -3.5633 eV/atom

abc: 3.510 3.510 13.250
angles: 90.00 90.00 90.00
Space group I4/mmm (No. 139)
Unique sites:
Cs1 0.000 0.000 0.000 (multiplicity 2)
Si1 0.000 0.000 0.268 (multiplicity 4)

***

no.,total moment (μB per atom),offset from the most stable computed form (meV per atom),V (A^3/atom)
1,0.000,125,70.68
2,0.000,277,27.21